First-principles (GGA-PBE) data for crystalline TlCoOs at its relaxed geometry, as listed in OQMD via LeMat-Bulk.

Results
energy above the lowest structure with this stoichiometry	0.0	meV/atom
total DFT energy (no corrections)	-18.01	eV/f.u.
crystal system	cubic

Lattice parameters (Å, degrees): 5.9297 5.9297 5.9297 90.00 90.00 90.00
Sites, in units of the cell vectors:
Tl: 0.0000 0.0000 0.0000
Tl: 0.0000 0.5000 0.5000
Tl: 0.5000 0.0000 0.5000
Tl: 0.5000 0.5000 0.0000
Co: 0.2500 0.2500 0.7500
Co: 0.2500 0.7500 0.2500
Co: 0.7500 0.2500 0.2500
Co: 0.7500 0.7500 0.7500
Os: 0.0000 0.0000 0.5000
Os: 0.0000 0.5000 0.0000
Os: 0.5000 0.0000 0.0000
Os: 0.5000 0.5000 0.5000

---

First-principles (GGA-PBE) data for crystalline Tl2CoOs at its relaxed geometry, as listed in OQMD via LeMat-Bulk.

Results
total DFT energy (no corrections)	-18.39	eV/f.u.
crystal system	cubic

Lattice parameters (Å, degrees): 6.6693 6.6693 6.6693 90.00 90.00 90.00
Sites, in units of the cell vectors:
Tl: 0.0000 0.0000 0.0000
Tl: 0.0000 0.5000 0.5000
Tl: 0.2500 0.2500 0.2500
Tl: 0.2500 0.7500 0.7500
Tl: 0.5000 0.0000 0.5000
Tl: 0.5000 0.5000 0.0000
Tl: 0.7500 0.2500 0.7500
Tl: 0.7500 0.7500 0.2500
Co: 0.2500 0.2500 0.7500
Co: 0.2500 0.7500 0.2500
Co: 0.7500 0.2500 0.2500
Co: 0.7500 0.7500 0.7500
Os: 0.0000 0.0000 0.5000
Os: 0.0000 0.5000 0.0000
Os: 0.5000 0.0000 0.0000
Os: 0.5000 0.5000 0.5000

---

First-principles (GGA-PBE) data for crystalline CoOs2W at its relaxed geometry, as listed in OQMD via LeMat-Bulk.

Results
energy above the lowest structure with this stoichiometry	29.3	meV/atom
total DFT energy (no corrections)	-42.72	eV/f.u.
crystal system	orthorhombic
formation energy from the elements	-0.05	eV per atom

Lattice parameters (Å, degrees): 4.2999 9.4412 5.4377 90.00 90.00 90.00
Sites, in units of the cell vectors:
Co: 0.2500 0.0758 0.0000
Co: 0.2500 0.5758 0.5000
Co: 0.7500 0.4242 0.5000
Co: 0.7500 0.9242 0.0000
Os: 0.2500 0.0857 0.4940
Os: 0.2500 0.3360 0.7358
Os: 0.2500 0.5857 0.9940
Os: 0.2500 0.8360 0.2358
Os: 0.7500 0.1640 0.2358
Os: 0.7500 0.4143 0.9940
Os: 0.7500 0.6640 0.7358
Os: 0.7500 0.9143 0.4940
W: 0.2500 0.3360 0.2561
W: 0.2500 0.8360 0.7561
W: 0.7500 0.1640 0.7561
W: 0.7500 0.6640 0.2561

---

First-principles (GGA-PBE) data for crystalline Co2OsW at its relaxed geometry, as listed in OQMD via LeMat-Bulk.

Results
energy above the lowest structure with this stoichiometry	0.0	meV/atom
total DFT energy (no corrections)	-38.68	eV/f.u.
crystal system	orthorhombic
formation energy from the elements	-0.07	eV per atom

Lattice parameters (Å, degrees): 5.2634 9.1058 4.2117 90.00 90.00 90.00
Sites, in units of the cell vectors:
Co: 0.2466 0.0802 0.2500
Co: 0.2466 0.9198 0.7500
Co: 0.2534 0.4198 0.7500
Co: 0.2534 0.5802 0.2500
Co: 0.7466 0.4198 0.7500
Co: 0.7466 0.5802 0.2500
Co: 0.7534 0.0802 0.2500
Co: 0.7534 0.9198 0.7500
Os: 0.0000 0.1608 0.7500
Os: 0.0000 0.8392 0.2500
Os: 0.5000 0.3392 0.2500
Os: 0.5000 0.6608 0.7500
W: 0.0000 0.3364 0.2500
W: 0.0000 0.6636 0.7500
W: 0.5000 0.1636 0.7500
W: 0.5000 0.8364 0.2500